The following is a DFT calculation (PBE-GGA) of crystalline TlIr2Os at its relaxed geometry.

Cell: 4.837 4.837 4.976 Å, 98.42 98.42 34.61°
Fractional positions:
Tl: 0.000 0.000 0.000
Ir: 0.241 0.241 0.724
Ir: 0.759 0.759 0.276
Os: 0.500 0.500 0.500

Values from the calculation:
- E (eV per atom) = -7.2374
- E_form (meV per atom) = 592
- symmetry = No. 12
- total moment (μB/atom) = 0.00